RbLiGe: relaxed, PBE.

Computed properties:
* calculated total energy: -15.9 eV/cell
* energy relative to the lowest polymorph listed for this composition: 57 meV per atom
* crystal system: triclinic
* total magnetic moment: 0.0 μB/cell
* energy of formation: -0.154 eV/atom

a b c (Å): 3.9451 4.3488 12.2407
angles (deg): 100.16 90.30 90.09
Last column: nearest neighbours and their distance in Å.
Space group P-1 (No. 2)
Asymmetric unit:
Rb: 0.2440 0.3417 0.1796 x2  2 Ge 3.61, 2 Li 3.67, 2 Rb 3.95
Li: 0.2487 0.9634 0.4249 x2  2 Li 2.68, 6 Ge 2.78-2.94
Ge: 0.2512 0.5345 0.5693 x2  2 Ge 2.58, 2 Li 2.78-2.79


RbLiGe: relaxed, PBE.

Computed properties:
* calculated total energy: -15.9 eV/cell
* energy relative to the lowest polymorph listed for this composition: 66 meV per atom
* crystal system: monoclinic
* total magnetic moment: 0.0 μB/cell
* energy of formation: -0.144 eV/atom

a b c (Å): 3.9712 4.2882 12.2587
angles (deg): 90.00 98.61 90.00
Last column: nearest neighbours and their distance in Å.
Space group Pm (No. 6)
Asymmetric unit:
Rb: 0.0000 0.0000 0.0000 x1  2 Ge 3.61-3.63, 2 Li 3.66, 2 Rb 3.97
Rb: 0.3195 0.5000 0.6426 x1  2 Li 3.61-3.68, 2 Ge 3.75, 2 Rb 3.97
Li: 0.1174 0.5000 0.2444 x1  2 Li 2.66, 6 Ge 2.77-2.93
Li: 0.6857 0.5000 0.3903 x1  2 Li 2.66, 6 Ge 2.74-2.93
Ge: 0.1820 0.0000 0.3890 x1  2 Ge 2.60-2.61, 4 Li 2.77-2.91
Ge: 0.6181 0.0000 0.2497 x1  2 Ge 2.60-2.61, 2 Li 2.74


RbLiGe: relaxed, PBE.

Computed properties:
* calculated total energy: -32.3 eV/cell
* energy relative to the lowest polymorph listed for this composition: 17 meV per atom
* crystal system: tetragonal
* total magnetic moment: 0.0 μB/cell
* energy of formation: -0.194 eV/atom

a b c (Å): 4.8470 4.8470 15.6552
angles (deg): 90.00 90.00 90.00
Last column: nearest neighbours and their distance in Å.
Space group I4/mmm (No. 139)
Asymmetric unit:
Rb: 0.0000 0.0000 0.1782 x4  4 Li 3.69, 5 Ge 3.76-3.79, 4 Rb 4.10
Li: 0.0000 0.5000 0.0000 x4  4 Ge 2.73
Ge: 0.0000 0.0000 0.4202 x4  1 Ge 2.50, 4 Li 2.73


- Number 1 is which compound?
  RbLiGe


- Which value of calculated total energy does entry 2 give?
  -15.9 eV/cell